1:
# KThPb2 (PBE, optimized geometry)
data_KThPb2
_chemical_formula_sum 'K3 Th3 Pb6'
_symmetry_space_group_name_H-M 'R -3 m'
_symmetry_Int_Tables_number 166
_symmetry_space_group_name_Hall '-R 3 2"'
_cell_length_a 3.6078
_cell_length_b 3.6078
_cell_length_c 34.8996
_cell_angle_alpha 90.00
_cell_angle_beta 90.00
_cell_angle_gamma 120.00
loop_
_atom_site_label
_atom_site_type_symbol
_atom_site_fract_x
_atom_site_fract_y
_atom_site_fract_z
K1 K 0.0000 0.0000 0.0000
Th1 Th 0.0000 0.0000 0.5000
Pb1 Pb 0.0000 0.0000 0.2472
# Size of the total moment in μB/atom: 0.00


2:
# KThPb2 (PBE, optimized geometry)
data_KThPb2
_chemical_formula_sum 'K1 Th1 Pb2'
_symmetry_space_group_name_H-M 'P 4/m m m'
_symmetry_Int_Tables_number 123
_symmetry_space_group_name_Hall '-P 4 2'
_cell_length_a 6.155
_cell_length_b 6.155
_cell_length_c 3.382
_cell_angle_alpha 90.00
_cell_angle_beta 90.00
_cell_angle_gamma 90.00
loop_
_atom_site_label
_atom_site_type_symbol
_atom_site_fract_x
_atom_site_fract_y
_atom_site_fract_z
K1 K 0.000 0.000 0.000
Th1 Th 0.500 0.500 0.000
Pb1 Pb 0.000 0.500 0.500
# Size of the total moment in μB/atom: 0.00


3:
# KThPb2 (PBE, optimized geometry)
data_KThPb2
_chemical_formula_sum 'K1 Th1 Pb2'
_symmetry_space_group_name_H-M 'P 4/m m m'
_symmetry_Int_Tables_number 123
_symmetry_space_group_name_Hall '-P 4 2'
_cell_length_a 3.572
_cell_length_b 3.572
_cell_length_c 10.260
_cell_angle_alpha 90.00
_cell_angle_beta 90.00
_cell_angle_gamma 90.00
loop_
_atom_site_label
_atom_site_type_symbol
_atom_site_fract_x
_atom_site_fract_y
_atom_site_fract_z
K1 K 0.000 0.000 0.000
Th1 Th 0.000 0.000 0.500
Pb1 Pb 0.500 0.500 0.266
# Size of the total moment in μB/atom: 0.00


1 is the least stable structure shown above.